Here is a relaxed structure of Y2TaMn from Alexandria via LeMat-Bulk. Energies are from PBE.

As for the formation energy: 0.84 eV/atom. Its total DFT energy (no corrections) is -7.653 eV/atom.

The structure belongs to space group I-42d (No. 122); the cell edges are 7.947, 7.947 and 5.924 Å and the angles 90.00°, 90.00° and 90.00°. The inequivalent atoms are Y at (0.217, 0.250, 0.125), Ta at (0.000, 0.000, 0.500) and Mn at (0.000, 0.000, 0.000).